Crystalline KVO2 at its relaxed geometry. Source: Alexandria, functional GGA+U.

Structure (POSCAR):
```
KVO2
1.0
-3.079 -2.042 -0.147
2.021 -2.599 -6.203
3.808 -2.646 3.483
K V O
2 2 4
Direct
0.878 0.883 0.768
0.670 0.160 0.350
0.414 0.419 0.838
0.124 0.617 0.258
0.423 0.177 0.856
0.948 0.515 0.906
0.245 0.469 0.501
0.152 0.870 0.316
```

space group: Cm, No. 8
ρ: 2.89 g/cm³
energy: -50.2 eV/cell